[1]
Material: LaNd2Ag4Ge4
Method: DFT, PBE
State: relaxed

Computed properties:
**Total magnetic moment**: 0.02 μB per formula unit
**VASP energy**: -4.60 eV/atom

a = 8.584 Å, b = 8.584 Å, c = 8.584 Å
α = 149.91°, β = 129.91°, γ = 59.55°
Atoms (fractional coordinates):
Nd1 0.372 0.872 0.500
Nd2 0.628 0.128 0.500
Ag1 0.027 0.332 0.695
Ag2 0.973 0.668 0.305
La1 0.000 0.000 0.000
Ge1 0.321 0.500 0.821
Ge2 0.782 0.782 0.000
Ag3 0.363 0.668 0.695
Ge3 0.218 0.218 0.000
Ge4 0.679 0.500 0.179
Ag4 0.637 0.332 0.305

---

[2]
Material: LiRe2B2
Method: DFT, PBE
State: relaxed

Computed properties:
**Total magnetic moment**: 0.00 μB per formula unit
**VASP energy**: -8.28 eV/atom

a = 5.726 Å, b = 5.726 Å, c = 3.026 Å
α = 90.00°, β = 90.00°, γ = 90.00°
Atoms (fractional coordinates):
Re1 0.173 0.327 0.500
B1 0.381 0.119 0.000
Re2 0.827 0.673 0.500
B2 0.881 0.381 0.000
Li1 0.500 0.500 0.000
Li2 0.000 0.000 0.000
Re3 0.673 0.173 0.500
B3 0.619 0.881 0.000
B4 0.119 0.619 0.000
Re4 0.327 0.827 0.500

---

[3]
Material: TbPr2O3
Method: DFT, PBE
State: relaxed

Computed properties:
**Total magnetic moment**: 0.01 μB per formula unit
**VASP energy**: -7.60 eV/atom

a = 3.492 Å, b = 3.492 Å, c = 8.847 Å
α = 90.00°, β = 90.00°, γ = 120.00°
Atoms (fractional coordinates):
Pr1 0.333 0.667 0.171
O1 0.000 0.000 0.000
Tb1 0.000 0.000 0.500
O2 0.667 0.333 0.363
Pr2 0.667 0.333 0.829
O3 0.333 0.667 0.637

---

[4]
Material: NaTb3Se4
Method: DFT, PBE
State: relaxed

Computed properties:
**Total magnetic moment**: 0.01 μB per formula unit
**VASP energy**: -5.39 eV/atom

a = 7.135 Å, b = 7.135 Å, c = 4.085 Å
α = 90.00°, β = 90.00°, γ = 109.04°
Atoms (fractional coordinates):
Tb1 0.000 0.500 0.000
Se1 0.747 0.747 0.000
Se2 0.250 0.750 0.500
Se3 0.750 0.250 0.500
Se4 0.253 0.253 0.000
Tb2 0.500 0.500 0.500
Tb3 0.500 0.000 0.000
Na1 0.000 0.000 0.500